Here is an optimized crystal structure of NbBrN3 from the Alexandria database. Energies are from PBEsol.

For the energy, the calculation gives -5.732 eV per atom. The total magnetization comes out at 0.1593 μB/atom.

Cell lengths 3.798, 3.798, 3.798 Å; angles 90.00, 90.00, 90.00 degrees
Element x y z (fractional)
Nb  0.000  0.000  0.000
Br  0.500  0.500  0.500
N  0.000  0.500  0.500
N  0.500  0.000  0.500
N  0.500  0.500  0.000

Here is an optimized crystal structure of NbBrN3 from the Alexandria database. Energies are from PBEsol.

For the energy, the calculation gives -6.586 eV per atom. The total magnetization comes out at 0.2271 μB/atom.

Cell lengths 4.122, 4.122, 4.122 Å; angles 90.00, 90.00, 90.00 degrees
Element x y z (fractional)
Nb  0.000  0.000  0.000
Br  0.500  0.500  0.500
N  0.000  0.000  0.500
N  0.000  0.500  0.000
N  0.500  0.000  0.000

Here is an optimized crystal structure of NbSe2BrN from the Alexandria database. Energies are from PBEsol.

For the energy, the calculation gives -4.940 eV per atom. The total magnetization comes out at 0.3900 μB/atom.

Cell lengths 4.374, 4.374, 4.404 Å; angles 90.00, 90.00, 90.00 degrees
Element x y z (fractional)
Nb  0.000  0.000  0.000
Se  0.000  0.500  0.500
Se  0.500  0.000  0.500
Br  0.500  0.500  0.000
N  0.500  0.500  0.500

Here is an optimized crystal structure of Nd6S4BrN3 from the Alexandria database. Energies are from PBEsol.

For the energy, the calculation gives -7.331 eV per atom. The total magnetization comes out at 0.0000 μB/atom.

Cell lengths 11.314, 3.987, 26.984 Å; angles 90.00, 90.00, 90.00 degrees
Element x y z (fractional)
Nd  0.058  0.250  0.078
Nd  0.062  0.250  0.807
Nd  0.100  0.250  0.536
Nd  0.125  0.250  0.284
Nd  0.245  0.750  0.171
Nd  0.250  0.250  0.936
Nd  0.250  0.750  0.436
Nd  0.255  0.250  0.671
Nd  0.375  0.750  0.784
Nd  0.400  0.750  0.036
Nd  0.438  0.750  0.307
Nd  0.442  0.750  0.578
Nd  0.558  0.250  0.422
Nd  0.562  0.250  0.693
Nd  0.600  0.250  0.964
Nd  0.625  0.250  0.216
Nd  0.745  0.750  0.329
Nd  0.750  0.250  0.564
Nd  0.750  0.750  0.064
Nd  0.755  0.250  0.829
Nd  0.875  0.750  0.716
Nd  0.900  0.750  0.464
Nd  0.938  0.750  0.193
Nd  0.942  0.750  0.922
S  0.135  0.750  0.735
S  0.143  0.750  0.995
S  0.189  0.750  0.862
S  0.205  0.750  0.602
S  0.295  0.250  0.102
S  0.311  0.250  0.362
S  0.357  0.250  0.495
S  0.365  0.250  0.235
S  0.635  0.750  0.765
S  0.643  0.750  0.505
S  0.689  0.750  0.638
S  0.705  0.750  0.898
S  0.795  0.250  0.398
S  0.811  0.250  0.138
S  0.857  0.250  0.005
S  0.865  0.250  0.265
Br  0.039  0.750  0.363
Br  0.461  0.250  0.863
Br  0.539  0.750  0.137
Br  0.961  0.250  0.637
N  0.062  0.750  0.125
N  0.099  0.750  0.486
N  0.113  0.750  0.238
N  0.387  0.250  0.738
N  0.401  0.250  0.986
N  0.438  0.250  0.625
N  0.562  0.750  0.375
N  0.599  0.750  0.014
N  0.613  0.750  0.262
N  0.887  0.250  0.762
N  0.901  0.250  0.514
N  0.938  0.250  0.875

Here is an optimized crystal structure of Nd3SeBrN2 from the Alexandria database. Energies are from PBEsol.

For the energy, the calculation gives -7.096 eV per atom. The total magnetization comes out at 0.0000 μB/atom.

Cell lengths 13.180, 4.064, 12.472 Å; angles 90.00, 90.00, 90.00 degrees
Element x y z (fractional)
Nd  0.021  0.250  0.116
Nd  0.089  0.750  0.609
Nd  0.198  0.250  0.845
Nd  0.302  0.750  0.345
Nd  0.411  0.250  0.109
Nd  0.479  0.750  0.616
Nd  0.521  0.250  0.384
Nd  0.589  0.750  0.891
Nd  0.698  0.250  0.655
Nd  0.802  0.750  0.155
Nd  0.911  0.250  0.391
Nd  0.979  0.750  0.884
Se  0.064  0.750  0.353
Se  0.436  0.250  0.853
Se  0.564  0.750  0.147
Se  0.936  0.250  0.647
Br  0.245  0.750  0.058
Br  0.255  0.250  0.558
Br  0.745  0.750  0.442
Br  0.755  0.250  0.942
N  0.053  0.250  0.934
N  0.143  0.750  0.773
N  0.357  0.250  0.273
N  0.447  0.750  0.434
N  0.553  0.250  0.566
N  0.643  0.750  0.727
N  0.857  0.250  0.227
N  0.947  0.750  0.066

Here is an optimized crystal structure of NiBrN2O from the Alexandria database. Energies are from PBEsol.

For the energy, the calculation gives -3.932 eV per atom. The total magnetization comes out at 0.5174 μB/atom.

Cell lengths 3.883, 3.883, 3.782 Å; angles 90.00, 90.00, 90.00 degrees
Element x y z (fractional)
Ni  0.000  0.000  0.000
Br  0.500  0.500  0.500
N  0.000  0.500  0.500
N  0.500  0.000  0.500
O  0.500  0.500  0.000

Here is an optimized crystal structure of NiSe2BrN from the Alexandria database. Energies are from PBEsol.

For the energy, the calculation gives -4.233 eV per atom. The total magnetization comes out at 0.0007 μB/atom.

Cell lengths 5.053, 5.053, 3.364 Å; angles 90.00, 90.00, 90.00 degrees
Element x y z (fractional)
Ni  0.000  0.000  0.000
Se  0.000  0.500  0.000
Se  0.500  0.000  0.000
Br  0.500  0.500  0.500
N  0.000  0.000  0.500

Here is an optimized crystal structure of RbBrN2O from the Alexandria database. Energies are from PBEsol.

For the energy, the calculation gives -2.839 eV per atom. The total magnetization comes out at 1.6027 μB/atom.

Cell lengths 5.577, 5.577, 5.143 Å; angles 90.00, 90.00, 90.00 degrees
Element x y z (fractional)
Rb  0.000  0.000  0.000
Br  0.500  0.500  0.500
N  0.000  0.500  0.000
N  0.500  0.000  0.000
O  0.000  0.000  0.500